[1]
Density functional theory data (PBE-GGA) for a relaxed structure of Ag3Os4.

abc: 14.247 14.247 14.247
angles: 168.68 168.68 16.04
Fractional positions:
Ag 0.000 0.000 0.000
Ag 0.711 0.711 0.000
Ag 0.289 0.289 0.000
Os 0.865 0.865 0.000
Os 0.577 0.577 0.000
Os 0.423 0.423 0.000
Os 0.135 0.135 0.000

Computed properties:
- electronic total energy (eV per atom) = -7.22
- symmetry = I4/mmm, No. 139
- energy of formation from the pure elements (kcal/mol of atoms) = 9.61
- total magnetic moment (μB/f.u.) = 0.000

---

[2]
Density functional theory data (PBE-GGA) for a relaxed structure of AgOs.

abc: 8.180 8.180 8.180
angles: 90.00 90.00 90.00
Fractional positions:
Ag 0.207 0.207 0.207
Ag 0.207 0.793 0.793
Ag 0.793 0.207 0.793
Ag 0.793 0.793 0.207
Ag 0.707 0.707 0.707
Ag 0.707 0.293 0.293
Ag 0.293 0.707 0.293
Ag 0.293 0.293 0.707
Os 0.393 0.393 0.393
Os 0.393 0.607 0.607
Os 0.607 0.393 0.607
Os 0.607 0.607 0.393
Os 0.893 0.893 0.893
Os 0.893 0.107 0.107
Os 0.107 0.893 0.107
Os 0.107 0.107 0.893

Computed properties:
- electronic total energy (eV per atom) = -5.06
- symmetry = I-43m, No. 217
- energy of formation from the pure elements (kcal/mol of atoms) = 45.61
- total magnetic moment (μB/f.u.) = 1.476

---

[3]
Density functional theory data (PBE-GGA) for a relaxed structure of AgOs5.

abc: 7.336 7.336 4.418
angles: 90.00 90.00 158.21
Fractional positions:
Ag 0.999 0.001 0.000
Os 0.222 0.778 0.500
Os 0.327 0.673 0.000
Os 0.558 0.442 0.500
Os 0.672 0.328 0.000
Os 0.888 0.112 0.500

Computed properties:
- electronic total energy (eV per atom) = -9.45
- symmetry = Amm2, No. 38
- energy of formation from the pure elements (kcal/mol of atoms) = 8.78
- total magnetic moment (μB/f.u.) = 0.001

---

[4]
Density functional theory data (PBE-GGA) for a relaxed structure of AgOs.

abc: 3.855 5.980 2.794
angles: 90.00 90.00 90.00
Fractional positions:
Os 0.000 0.413 0.500
Os 0.500 0.587 0.000
Ag 0.000 0.878 0.500
Ag 0.500 0.122 0.000

Computed properties:
- electronic total energy (eV per atom) = -6.57
- symmetry = Pmmn, No. 59
- energy of formation from the pure elements (kcal/mol of atoms) = 10.94
- total magnetic moment (μB/f.u.) = 0.000

---

[5]
Density functional theory data (PBE-GGA) for a relaxed structure of Ag3Os5.

abc: 7.863 7.863 8.054
angles: 95.52 95.51 144.44
Fractional positions:
Os 0.020 0.694 0.771
Os 0.280 0.052 0.328
Os 0.274 0.774 0.545
Os 0.194 0.520 0.771
Os 0.449 0.221 0.673
Os 0.552 0.780 0.328
Os 0.807 0.481 0.230
Os 0.727 0.227 0.456
Os 0.721 0.949 0.672
Os 0.981 0.307 0.230
Ag 0.205 0.296 0.500
Ag 0.297 0.204 0.000
Ag 0.300 0.800 0.088
Ag 0.700 0.200 0.913
Ag 0.704 0.797 0.000
Ag 0.796 0.705 0.500

Computed properties:
- electronic total energy (eV per atom) = -7.26
- symmetry = C2/m, No. 12
- energy of formation from the pure elements (kcal/mol of atoms) = 19.20
- total magnetic moment (μB/f.u.) = 0.000

---

[6]
Density functional theory data (PBE-GGA) for a relaxed structure of AgOs.

abc: 4.722 4.722 4.722
angles: 128.58 128.58 75.68
Fractional positions:
Os 0.250 0.750 0.500
Os 0.500 0.500 0.000
Ag 0.000 0.000 0.000
Ag 0.750 0.250 0.500

Computed properties:
- electronic total energy (eV per atom) = -6.20
- symmetry = I4_1/amd, No. 141
- energy of formation from the pure elements (kcal/mol of atoms) = 19.39
- total magnetic moment (μB/f.u.) = 0.000

---

[7]
Density functional theory data (PBE-GGA) for a relaxed structure of AgOs5.

abc: 5.070 5.070 4.528
angles: 90.00 90.00 120.00
Fractional positions:
Ag 0.000 0.000 0.000
Os 0.000 0.500 0.500
Os 0.333 0.667 0.000
Os 0.500 0.000 0.500
Os 0.500 0.500 0.500
Os 0.667 0.333 0.000

Computed properties:
- electronic total energy (eV per atom) = -8.87
- symmetry = P6/mmm, No. 191
- energy of formation from the pure elements (kcal/mol of atoms) = 22.13
- total magnetic moment (μB/f.u.) = 0.003

---

[8]
Density functional theory data (PBE-GGA) for a relaxed structure of AgOs.

abc: 2.789 2.789 9.483
angles: 90.00 90.00 120.00
Fractional positions:
Os 0.000 0.000 0.588
Os 0.333 0.667 0.801
Ag 0.000 0.000 0.061
Ag 0.667 0.333 0.325

Computed properties:
- electronic total energy (eV per atom) = -6.72
- symmetry = P3m1, No. 156
- energy of formation from the pure elements (kcal/mol of atoms) = 7.37
- total magnetic moment (μB/f.u.) = 0.000

---

[9]
Density functional theory data (PBE-GGA) for a relaxed structure of AgOs.

abc: 8.715 8.715 2.579
angles: 90.00 90.00 90.00
Fractional positions:
Ag 0.295 0.705 0.000
Ag 0.795 0.795 0.500
Ag 0.205 0.205 0.500
Ag 0.705 0.295 0.000
Os 0.404 0.404 0.000
Os 0.904 0.096 0.500
Os 0.096 0.904 0.500
Os 0.596 0.596 0.000

Computed properties:
- electronic total energy (eV per atom) = -5.66
- symmetry = P4_2/mnm, No. 136
- energy of formation from the pure elements (kcal/mol of atoms) = 31.77
- total magnetic moment (μB/f.u.) = 0.001

---

[10]
Density functional theory data (PBE-GGA) for a relaxed structure of AgOs.

abc: 2.746 5.791 4.269
angles: 90.00 90.00 76.29
Fractional positions:
Os 0.552 0.897 0.250
Os 0.448 0.103 0.750
Ag 0.813 0.374 0.250
Ag 0.187 0.626 0.750

Computed properties:
- electronic total energy (eV per atom) = -6.33
- symmetry = Cmcm, No. 63
- energy of formation from the pure elements (kcal/mol of atoms) = 16.35
- total magnetic moment (μB/f.u.) = 0.000

---

[11]
Density functional theory data (PBE-GGA) for a relaxed structure of AgOs.

abc: 6.556 4.723 4.723
angles: 146.25 128.11 60.28
Fractional positions:
Os 0.460 0.504 0.956
Os 0.623 0.246 0.377
Ag 0.935 0.998 0.937
Ag 0.148 0.752 0.397

Computed properties:
- electronic total energy (eV per atom) = -6.41
- symmetry = C2/m, No. 12
- energy of formation from the pure elements (kcal/mol of atoms) = 14.46
- total magnetic moment (μB/f.u.) = 0.000

---

[12]
Density functional theory data (PBE-GGA) for a relaxed structure of AgOs.

abc: 4.471 4.471 5.279
angles: 90.00 90.00 120.00
Fractional positions:
Os 0.333 0.667 0.436
Os 0.667 0.333 0.936
Ag 0.333 0.667 0.935
Ag 0.667 0.333 0.435

Computed properties:
- electronic total energy (eV per atom) = -4.59
- symmetry = P6_3/mmc, No. 194
- energy of formation from the pure elements (kcal/mol of atoms) = 56.61
- total magnetic moment (μB/f.u.) = 1.730

---

[13]
Density functional theory data (PBE-GGA) for a relaxed structure of AgOs.

abc: 5.058 5.058 5.058
angles: 31.58 31.58 31.58
Fractional positions:
Os 0.500 0.500 0.500
Ag 0.000 0.000 0.000

Computed properties:
- electronic total energy (eV per atom) = -6.29
- symmetry = R-3m, No. 166
- energy of formation from the pure elements (kcal/mol of atoms) = 17.35
- total magnetic moment (μB/f.u.) = 0.408

---

[14]
Density functional theory data (PBE-GGA) for a relaxed structure of AgOs.

abc: 5.359 5.359 7.233
angles: 72.69 72.69 29.99
Fractional positions:
Ag 0.977 0.977 0.019
Ag 0.635 0.635 0.258
Ag 0.347 0.347 0.363
Os 0.952 0.952 0.641
Os 0.656 0.656 0.671
Os 0.266 0.266 0.882

Computed properties:
- electronic total energy (eV per atom) = -6.52
- symmetry = Cm, No. 8
- energy of formation from the pure elements (kcal/mol of atoms) = 12.02
- total magnetic moment (μB/f.u.) = 0.000

---

[15]
Density functional theory data (PBE-GGA) for a relaxed structure of Ag2Os.

abc: 6.363 6.363 6.363
angles: 90.00 90.00 90.00
Fractional positions:
Os 0.000 0.000 0.000
Os 0.000 0.500 0.500
Os 0.500 0.000 0.500
Os 0.500 0.500 0.000
Ag 0.129 0.629 0.871
Ag 0.129 0.871 0.371
Ag 0.371 0.129 0.871
Ag 0.371 0.371 0.371
Ag 0.629 0.629 0.629
Ag 0.629 0.871 0.129
Ag 0.871 0.129 0.629
Ag 0.871 0.371 0.129

Computed properties:
- electronic total energy (eV per atom) = -3.94
- symmetry = Pa-3, No. 205
- energy of formation from the pure elements (kcal/mol of atoms) = 39.32
- total magnetic moment (μB/f.u.) = 2.224

---

[16]
Density functional theory data (PBE-GGA) for a relaxed structure of AgOs2.

abc: 7.289 7.289 4.528
angles: 90.00 90.00 157.84
Fractional positions:
Ag 0.890 0.110 0.750
Ag 0.110 0.890 0.250
Os 0.559 0.441 0.750
Os 0.783 0.217 0.250
Os 0.217 0.783 0.750
Os 0.441 0.559 0.250

Computed properties:
- electronic total energy (eV per atom) = -7.74
- symmetry = Cmcm, No. 63
- energy of formation from the pure elements (kcal/mol of atoms) = 16.07
- total magnetic moment (μB/f.u.) = 0.000

---

[17]
Density functional theory data (PBE-GGA) for a relaxed structure of AgOs.

abc: 4.301 4.301 4.837
angles: 90.00 90.00 120.00
Fractional positions:
Os 0.000 0.000 0.000
Os 0.000 0.000 0.500
Ag 0.333 0.667 0.250
Ag 0.667 0.333 0.750

Computed properties:
- electronic total energy (eV per atom) = -5.60
- symmetry = P6_3/mmc, No. 194
- energy of formation from the pure elements (kcal/mol of atoms) = 33.25
- total magnetic moment (μB/f.u.) = 0.000

---

[18]
Density functional theory data (PBE-GGA) for a relaxed structure of Ag4Os.

abc: 5.085 5.085 5.085
angles: 90.00 90.00 90.00
Fractional positions:
Os 0.500 0.500 0.500
Ag 0.000 0.000 0.000
Ag 0.500 0.000 0.500
Ag 0.000 0.500 0.500
Ag 0.500 0.500 0.000

Computed properties:
- electronic total energy (eV per atom) = -3.03
- symmetry = Pm-3m, No. 221
- energy of formation from the pure elements (kcal/mol of atoms) = 34.59
- total magnetic moment (μB/f.u.) = 2.304

---

[19]
Density functional theory data (PBE-GGA) for a relaxed structure of AgOs5.

abc: 5.251 5.251 6.511
angles: 75.99 75.99 30.61
Fractional positions:
Ag 0.997 0.997 0.003
Os 0.619 0.619 0.284
Os 0.329 0.329 0.344
Os 0.945 0.945 0.607
Os 0.672 0.672 0.661
Os 0.272 0.272 0.934

Computed properties:
- electronic total energy (eV per atom) = -9.47
- symmetry = Cm, No. 8
- energy of formation from the pure elements (kcal/mol of atoms) = 8.49
- total magnetic moment (μB/f.u.) = 0.000

---

[20]
Density functional theory data (PBE-GGA) for a relaxed structure of AgOs.

abc: 4.166 4.166 4.166
angles: 60.00 60.00 60.00
Fractional positions:
Os 0.250 0.250 0.250
Ag 0.000 0.000 0.000

Computed properties:
- electronic total energy (eV per atom) = -4.23
- symmetry = F-43m, No. 216
- energy of formation from the pure elements (kcal/mol of atoms) = 64.85
- total magnetic moment (μB/f.u.) = 2.233

---

Number 1: density 16.2 g/cm³. Number 2: density 7.2 g/cm³. Number 3: density 19.9 g/cm³. Number 4: density 15.4 g/cm³. Number 5: density 15.4 g/cm³. Number 6: density 15.8 g/cm³. Number 7: density 17.4 g/cm³. Number 8: density 15.5 g/cm³. Number 9: density 10.1 g/cm³. Number 10: density 15.0 g/cm³. Number 11: density 15.5 g/cm³. Number 12: density 10.8 g/cm³. Number 13: density 15.7 g/cm³. Number 14: density 15.0 g/cm³. Number 15: density 10.5 g/cm³. Number 16: density 17.9 g/cm³. Number 17: density 12.8 g/cm³. Number 18: density 7.9 g/cm³. Number 19: density 19.9 g/cm³. Number 20: density 9.7 g/cm³.